Material: RbWIO2
Method: DFT, PBE+U
State: relaxed

Calculated values
- crystal system = tetragonal
- calculated volume (Å³/atom) = 32.2
- energy (eV per atom) = -2.97
- density of states at the Fermi level (states/eV/f.u.) = 3.9
- density (g/cm3) = 4.41

Cell lengths 4.793, 4.793, 7.017 Å; angles 90.00, 90.00, 90.00 degrees
Space group P4/mmm (No. 123)
Inequivalent atoms, fractional coordinates:
Rb1 0.000 0.000 0.000
W1 0.500 0.500 0.500
I1 0.000 0.000 0.500
O1 0.000 0.500 0.000